Below is an optimized crystal structure of LaGd2In3AgPt2, with properties calculated at the PBE level.

The structure in CIF format:
```
data_LaGd2In3AgPt2
_chemical_formula_sum 'La1 Gd2 In3 Ag1 Pt2'
_cell_length_a 3.932
_cell_length_b 7.872
_cell_length_c 7.872
_cell_angle_alpha 120.12
_cell_angle_beta 90.00
_cell_angle_gamma 90.00
_symmetry_space_group_name_H-M 'P 1'
_symmetry_Int_Tables_number 1
loop_
_symmetry_equiv_pos_as_xyz
'x,y,z'
loop_
_atom_site_label
_atom_site_type_symbol
_atom_site_fract_x
_atom_site_fract_y
_atom_site_fract_z
_atom_site_occupancy
In1 In 0.500 0.995 0.263 1
In2 In 0.500 0.263 0.995 1
In3 In 0.500 0.741 0.741 1
Ag1 Ag 0.000 0.999 0.999 1
Gd1 Gd 0.000 0.000 0.587 1
Gd2 Gd 0.000 0.587 0.000 1
Pt1 Pt 0.500 0.669 0.331 1
Pt2 Pt 0.500 0.331 0.669 1
La1 La 0.000 0.414 0.414 1
```

Results
space-group type: Amm2, No. 38
raw total energy: -4.972 eV/atom
spin magnetization: 0.00 μB/f.u.